Entry 1:
The following is a PBEsol calculation of crystalline BeCrTe2 at its relaxed geometry, from Alexandria via LeMat-Bulk.

Results
The total magnetization comes out at 3.5 μB/cell. For the uncorrected formation energy, the calculation gives 0.548 eV/atom.

Cell lengths 4.771, 4.771, 3.372 Å; angles 90.00, 90.00, 90.00 degrees
Space group P4/mmm (No. 123)
One atom of each set of equivalent atoms:
Be: 0.000 0.000 0.000 [1 per cell]
Cr: 0.500 0.500 0.000 [1 per cell]
Te: 0.000 0.500 0.500 [2 per cell]

---

Entry 2:
The following is a PBEsol calculation of crystalline CaLaAg4 at its relaxed geometry, from Alexandria via LeMat-Bulk.

Results
The total magnetization comes out at 0.0 μB/cell. As for the energy of formation from the pure elements: -130 kJ/mol of formula units.

Cell lengths 8.037, 8.037, 8.037 Å; angles 90.00, 90.00, 90.00 degrees
Space group F-43m (No. 216)
One atom of each set of equivalent atoms:
Ca: 0.000 0.000 0.000 [4 per cell]
La: 0.250 0.250 0.250 [4 per cell]
Ag: 0.126 0.126 0.626 [16 per cell]

---

Entry 3:
The following is a PBEsol calculation of crystalline LiCo2O4 at its relaxed geometry, from Alexandria via LeMat-Bulk.

Results
The total magnetization comes out at 8.4 μB/cell. The excess energy over the best structure of this formula in the dataset is 0.0 kJ per mole of atoms. For the uncorrected formation energy, the calculation gives -1.350 eV/atom.

Cell lengths 7.927, 7.927, 7.927 Å; angles 90.00, 90.00, 90.00 degrees
Space group Fd-3m (No. 227, origin choice 2)
One atom of each set of equivalent atoms:
Li: 0.125 0.125 0.125 [8 per cell]
Co: 0.000 0.000 0.500 [16 per cell]
O: 0.014 0.014 0.736 [32 per cell]

---

Entry 4:
The following is a PBEsol calculation of crystalline Zn2RePt at its relaxed geometry, from Alexandria via LeMat-Bulk.

Results
The total magnetization comes out at 0.0 μB/cell. As for the energy of formation from the pure elements: 15 kJ/mol of formula units. The excess energy over the best structure of this formula in the dataset is 2.1 kJ per mole of atoms.

Cell lengths 5.560, 7.725, 2.629 Å; angles 90.00, 90.00, 90.00 degrees
Space group Cmmm (No. 65)
One atom of each set of equivalent atoms:
Zn: 0.250 0.250 0.000 [4 per cell]
Re: 0.000 0.000 0.500 [2 per cell]
Pt: 0.000 0.500 0.500 [2 per cell]

---

Entry 5:
The following is a PBEsol calculation of crystalline SrTl2Cd at its relaxed geometry, from Alexandria via LeMat-Bulk.

Results
The total magnetization comes out at 0.0 μB/cell. As for the energy of formation from the pure elements: -108 kJ/mol of formula units.

Cell lengths 4.9532, 4.9532, 16.1382 Å; angles 90.00, 90.00, 120.00 degrees
Space group R-3m (No. 166, hexagonal axes)
One atom of each set of equivalent atoms:
Sr: 0.0000 0.0000 0.0000 [3 per cell]
Tl: 0.0000 0.0000 0.2276 [6 per cell]
Cd: 0.0000 0.0000 0.5000 [3 per cell]

---

Entry 6:
The following is a PBEsol calculation of crystalline Y4Ga12Pd at its relaxed geometry, from Alexandria via LeMat-Bulk.

Results
The total magnetization comes out at 0.0 μB/cell. As for the energy of formation from the pure elements: -1103 kJ/mol of formula units.

Cell lengths 8.501, 8.501, 8.501 Å; angles 90.00, 90.00, 90.00 degrees
Space group Im-3m (No. 229)
One atom of each set of equivalent atoms:
Y: 0.250 0.250 0.250 [8 per cell]
Ga: 0.000 0.000 0.297 [12 per cell]
Ga: 0.000 0.250 0.500 [12 per cell]
Pd: 0.000 0.000 0.000 [2 per cell]

---

Entry 7:
The following is a PBEsol calculation of crystalline ZrF4 at its relaxed geometry, from Alexandria via LeMat-Bulk.

Results
The total magnetization comes out at 0.0 μB/cell. For the uncorrected formation energy, the calculation gives -3.757 eV/atom.

Cell lengths 11.787, 9.945, 7.703 Å; angles 90.00, 126.13, 90.00 degrees
Space group C2/c (No. 15)
One atom of each set of equivalent atoms:
Zr: 0.000 0.214 0.250 [4 per cell]
Zr: 0.205 0.429 0.832 [8 per cell]
F: 0.000 0.393 0.750 [4 per cell]
F: 0.109 0.293 0.575 [8 per cell]
F: 0.117 0.054 0.456 [8 per cell]
F: 0.118 0.379 0.282 [8 per cell]
F: 0.123 0.153 0.150 [8 per cell]
F: 0.212 0.470 0.106 [8 per cell]
F: 0.250 0.250 0.000 [4 per cell]

---

Entry 8:
The following is a PBEsol calculation of crystalline Cu2Hg2Pb at its relaxed geometry, from Alexandria via LeMat-Bulk.

Results
The total magnetization comes out at 0.0 μB/cell. As for the energy of formation from the pure elements: 102 kJ/mol of formula units.

Cell lengths 4.105, 4.105, 11.799 Å; angles 90.00, 90.00, 90.00 degrees
Space group I4/mmm (No. 139)
One atom of each set of equivalent atoms:
Cu: 0.000 0.000 0.099 [4 per cell]
Hg: 0.000 0.500 0.250 [4 per cell]
Pb: 0.000 0.000 0.500 [2 per cell]

---

Entry 9:
The following is a PBEsol calculation of crystalline Sn2PdAu at its relaxed geometry, from Alexandria via LeMat-Bulk.

Results
The total magnetization comes out at 0.0 μB/cell. As for the energy of formation from the pure elements: -147 kJ/mol of formula units.

Cell lengths 4.1407, 4.1407, 5.6048 Å; angles 90.00, 90.00, 120.00 degrees
Space group P-3m1 (No. 164)
One atom of each set of equivalent atoms:
Sn: 0.3333 0.6667 0.2353 [2 per cell]
Pd: 0.0000 0.0000 0.0000 [1 per cell]
Au: 0.0000 0.0000 0.5000 [1 per cell]

---

Entry 10:
The following is a PBEsol calculation of crystalline MnCoAs at its relaxed geometry, from Alexandria via LeMat-Bulk.

Results
The total magnetization comes out at 8.0 μB/cell. As for the energy of formation from the pure elements: 12 kJ/mol of formula units.

Cell lengths 3.160, 3.160, 7.439 Å; angles 90.00, 90.00, 90.00 degrees
Space group I4mm (No. 107)
One atom of each set of equivalent atoms:
Mn: 0.000 0.000 0.000 [2 per cell]
Co: 0.000 0.000 0.338 [2 per cell]
As: 0.000 0.000 0.668 [2 per cell]

---

Entry 11:
The following is a PBEsol calculation of crystalline CoSiTc2 at its relaxed geometry, from Alexandria via LeMat-Bulk.

Results
The total magnetization comes out at 0.8 μB/cell. For the uncorrected formation energy, the calculation gives -0.327 eV/atom.

Cell lengths 2.875, 4.147, 8.227 Å; angles 90.00, 90.00, 90.00 degrees
Space group Imm2 (No. 44)
One atom of each set of equivalent atoms:
Co: 0.000 0.000 0.000 [2 per cell]
Si: 0.000 0.500 0.713 [2 per cell]
Tc: 0.000 0.000 0.460 [2 per cell]
Tc: 0.000 0.500 0.230 [2 per cell]

---

Entry 12:
The following is a PBEsol calculation of crystalline Ba2TiCu at its relaxed geometry, from Alexandria via LeMat-Bulk.

Results
The total magnetization comes out at 15.9 μB/cell. As for the energy of formation from the pure elements: 273 kJ/mol of formula units.

Cell lengths 7.944, 7.944, 7.944 Å; angles 90.00, 90.00, 90.00 degrees
Space group Fm-3m (No. 225)
One atom of each set of equivalent atoms:
Ba: 0.250 0.250 0.250 [8 per cell]
Ti: 0.000 0.000 0.000 [4 per cell]
Cu: 0.000 0.000 0.500 [4 per cell]